VASP calculation (PBE with a Hubbard U) on a relaxed Mg2Ta2VO8 crystal.

Structure (POSCAR):
```
Mg2Ta2VO8
1.0
9.642 -3.012 0.000
9.642 3.012 0.000
0.000 0.000 5.231
Mg Ta V O
4 4 2 16
Direct
0.084 0.370 0.246
0.370 0.084 0.746
0.630 0.916 0.254
0.916 0.630 0.754
0.219 0.547 0.255
0.453 0.781 0.245
0.547 0.219 0.755
0.781 0.453 0.745
0.148 0.852 0.750
0.852 0.148 0.250
0.046 0.338 0.881
0.066 0.814 0.403
0.186 0.934 0.097
0.209 0.417 0.544
0.318 0.536 0.921
0.338 0.046 0.381
0.417 0.209 0.044
0.464 0.682 0.579
0.536 0.318 0.421
0.583 0.791 0.956
0.662 0.954 0.619
0.682 0.464 0.079
0.791 0.583 0.456
0.814 0.066 0.903
0.934 0.186 0.597
0.954 0.662 0.119
```

E_tot ... -217.507 eV per cell
Total moment ... 0.23 μB per atom